1.
## AlZn3Te4 (GGA-PBE)

Data for a relaxed structure of AlZn3Te4.

Computed properties:
crystal system: tetragonal

Lattice parameters (Å, degrees): 7.694 7.694 7.694 131.56 131.56 70.93
Element x y z (fractional)
Al  0.000  0.000  0.000
Zn  0.250  0.750  0.500
Zn  0.500  0.500  0.000
Zn  0.750  0.250  0.500
Te  0.126  0.126  0.502
Te  0.376  0.874  0.000
Te  0.624  0.624  0.498
Te  0.874  0.376  0.000

---

2.
## Al2ZnTe (GGA-PBE)

Data for a relaxed structure of Al2ZnTe.

Computed properties:
crystal system: orthorhombic

Lattice parameters (Å, degrees): 2.997 3.777 7.278 90.00 90.00 90.00
Element x y z (fractional)
Al  0.000  0.000  0.202
Al  0.000  0.000  0.798
Zn  0.500  0.500  0.000
Te  0.500  0.500  0.500

---

3.
## AlZn2Te (GGA-PBE)

Data for a relaxed structure of AlZn2Te.

Computed properties:
crystal system: monoclinic

Lattice parameters (Å, degrees): 4.546 4.546 5.548 104.32 104.32 49.07
Element x y z (fractional)
Al  0.000  0.000  0.000
Zn  0.260  0.260  0.815
Zn  0.740  0.740  0.185
Te  0.500  0.500  0.500

---

4.
## Al2Zn2Te5 (GGA-PBE)

Data for a relaxed structure of Al2Zn2Te5.

Computed properties:
crystal system: monoclinic

Lattice parameters (Å, degrees): 11.430 11.430 7.069 104.29 104.29 21.14
Element x y z (fractional)
Al  0.108  0.108  0.396
Al  0.892  0.892  0.604
Zn  0.416  0.416  0.196
Zn  0.584  0.584  0.804
Te  0.000  0.000  0.500
Te  0.115  0.115  0.037
Te  0.333  0.333  0.415
Te  0.667  0.667  0.585
Te  0.885  0.885  0.963

---

no.,ΔE_f (raw) (eV/atom)
1,-0.31
2,0.18
3,0.09
4,-0.27